1.
First-principles (PBE-GGA) data for a relaxed MnGeI3 crystal, as listed in the Alexandria database.

## Properties
* spin magnetization: 6.00 Bohr magnetons per cell
* calculated volume: 39.12 A^3/atom
* energy: -3.383 eV per atom
* formation energy from raw total energies: 305 meV/atom
* SG: Pm-3m
* relative energy among the computed polymorphs: 52 meV/atom

a = 5.8047 Å, b = 5.8047 Å, c = 5.8047 Å
α = 90.00°, β = 90.00°, γ = 90.00°
Closest atoms and distances in Å follow each position.
Sites, in units of the cell vectors:
I  0.0000  0.5000  0.0000  2 Ge 2.90
I  0.0000  0.0000  0.5000  2 Ge 2.90
I  0.5000  0.0000  0.0000  2 Ge 2.90
Ge  0.0000  0.0000  0.0000  6 I 2.90
Mn  0.5000  0.5000  0.5000  12 I 4.10

---

2.
First-principles (PBE-GGA) data for a relaxed Mn2GeI crystal, as listed in the Alexandria database.

## Properties
* spin magnetization: 0.00 Bohr magnetons per cell
* calculated volume: 14.63 A^3/atom
* energy: -5.332 eV per atom
* formation energy from raw total energies: 795 meV/atom
* SG: Fm-3m
* relative energy among the computed polymorphs: 347 meV/atom

a = 4.3580 Å, b = 4.3580 Å, c = 4.3580 Å
α = 60.00°, β = 60.00°, γ = 60.00°
Closest atoms and distances in Å follow each position.
Sites, in units of the cell vectors:
I  0.5000  0.5000  0.5000  8 Mn 2.67
Ge  0.0000  0.0000  0.0000  8 Mn 2.67
Mn  0.2500  0.2500  0.2500  4 Ge 2.67, 4 I 2.67
Mn  0.7500  0.7500  0.7500  4 I 2.67, 4 Ge 2.67

---

3.
First-principles (PBE-GGA) data for a relaxed MnGe2I crystal, as listed in the Alexandria database.

## Properties
* spin magnetization: 4.04 Bohr magnetons per cell
* calculated volume: 22.32 A^3/atom
* energy: -4.198 eV per atom
* formation energy from raw total energies: 790 meV/atom
* SG: Fm-3m
* relative energy among the computed polymorphs: 287 meV/atom

a = 5.0166 Å, b = 5.0166 Å, c = 5.0166 Å
α = 60.00°, β = 60.00°, γ = 60.00°
Closest atoms and distances in Å follow each position.
Sites, in units of the cell vectors:
I  0.5000  0.5000  0.5000  8 Ge 3.07
Ge  0.2500  0.2500  0.2500  4 I 3.07, 4 Mn 3.07
Ge  0.7500  0.7500  0.7500  4 I 3.07, 4 Mn 3.07
Mn  0.0000  0.0000  0.0000  8 Ge 3.07

---

4.
First-principles (PBE-GGA) data for a relaxed MnGeI4 crystal, as listed in the Alexandria database.

## Properties
* spin magnetization: 4.99 Bohr magnetons per cell
* calculated volume: 38.71 A^3/atom
* energy: -3.710 eV per atom
* formation energy from raw total energies: -379 meV/atom
* SG: C2/m

a = 4.2119 Å, b = 7.3825 Å, c = 8.5975 Å
α = 64.50°, β = 75.85°, γ = 90.00°
Closest atoms and distances in Å follow each position.
Sites, in units of the cell vectors:
Mn  0.5000  0.5000  0.0000  6 I 2.92
Ge  0.0000  0.0000  0.0000  6 I 3.02
I  0.8893  0.5469  0.2218  2 Mn 2.92, 1 Ge 3.02
I  0.6141  0.9356  0.7714  1 Mn 2.92, 2 Ge 3.02
I  0.3859  0.0644  0.2286  1 Mn 2.92, 2 Ge 3.02
I  0.1107  0.4531  0.7782  2 Mn 2.92, 1 Ge 3.02

---

5.
First-principles (PBE-GGA) data for a relaxed MnGeI2N crystal, as listed in the Alexandria database.

## Properties
* spin magnetization: 1.79 Bohr magnetons per cell
* calculated volume: 22.03 A^3/atom
* energy: -4.652 eV per atom
* formation energy from raw total energies: 390 meV/atom
* SG: P4/mmm
* relative energy among the computed polymorphs: 0 meV/atom

a = 5.5366 Å, b = 5.5366 Å, c = 3.5929 Å
α = 90.00°, β = 90.00°, γ = 90.00°
Closest atoms and distances in Å follow each position.
Sites, in units of the cell vectors:
I  0.0000  0.5000  0.0000  2 Mn 2.77
I  0.5000  0.0000  0.0000  2 Mn 2.77
Ge  0.5000  0.5000  0.5000  8 I 3.30, 2 Ge 3.59
Mn  0.0000  0.0000  0.0000  2 N 1.80
N  0.0000  0.0000  0.5000  2 Mn 1.80

---

6.
First-principles (PBE-GGA) data for a relaxed MnGeI2N crystal, as listed in the Alexandria database.

## Properties
* spin magnetization: 4.76 Bohr magnetons per cell
* calculated volume: 26.51 A^3/atom
* energy: -4.297 eV per atom
* formation energy from raw total energies: 745 meV/atom
* SG: P4/mmm
* relative energy among the computed polymorphs: 355 meV/atom

a = 6.0741 Å, b = 6.0741 Å, c = 3.5927 Å
α = 90.00°, β = 90.00°, γ = 90.00°
Closest atoms and distances in Å follow each position.
Sites, in units of the cell vectors:
I  0.0000  0.5000  0.0000  2 Ge 3.04
I  0.5000  0.0000  0.0000  2 Ge 3.04
Ge  0.0000  0.0000  0.0000  2 N 1.80
Mn  0.5000  0.5000  0.5000  8 I 3.53, 2 Mn 3.59
N  0.0000  0.0000  0.5000  2 Ge 1.80

---

7.
First-principles (PBE-GGA) data for a relaxed MnGeIN2 crystal, as listed in the Alexandria database.

## Properties
* spin magnetization: 0.33 Bohr magnetons per cell
* calculated volume: 16.03 A^3/atom
* energy: -5.342 eV per atom
* formation energy from raw total energies: 1055 meV/atom
* SG: P4/mmm

a = 3.8522 Å, b = 3.8522 Å, c = 5.4007 Å
α = 90.00°, β = 90.00°, γ = 90.00°
Closest atoms and distances in Å follow each position.
Sites, in units of the cell vectors:
I  0.0000  0.0000  0.5000  2 Mn 2.70, 4 Ge 2.72
Ge  0.5000  0.5000  0.5000  4 I 2.72
Mn  0.0000  0.0000  0.0000  4 N 1.93
N  0.0000  0.5000  0.0000  2 Mn 1.93
N  0.5000  0.0000  0.0000  2 Mn 1.93